# LiZnNi2 (GGA-PBEsol, optimized geometry)
# spin magnetization: 0.0 Bohr magnetons per cell
# N(E_F): 0.654 states/eV/atom
# V: 88 Å³ per cell
# E: -4.083 eV per atom
data_LiZnNi2
_chemical_formula_sum 'Li2 Zn2 Ni4'
_symmetry_space_group_name_H-M 'I 4/m m m'
_symmetry_Int_Tables_number 139
_symmetry_space_group_name_Hall '-I 4 2'
_cell_length_a 3.571
_cell_length_b 3.571
_cell_length_c 6.924
_cell_angle_alpha 90.00
_cell_angle_beta 90.00
_cell_angle_gamma 90.00
loop_
_atom_site_label
_atom_site_type_symbol
_atom_site_fract_x
_atom_site_fract_y
_atom_site_fract_z
_atom_site_occupancy
Li1 Li 0.000 0.000 0.000 1
Zn1 Zn 0.000 0.000 0.500 1
Ni1 Ni 0.000 0.500 0.250 1

=====

# LiZn2Ni (GGA-PBEsol, optimized geometry)
# spin magnetization: 0.0 Bohr magnetons per cell
# N(E_F): 0.348 states/eV/atom
# V: 50 Å³ per cell
# E: -3.031 eV per atom
data_LiZn2Ni
_chemical_formula_sum 'Li1 Zn2 Ni1'
_symmetry_space_group_name_H-M 'P m m m'
_symmetry_Int_Tables_number 47
_cell_length_a 2.600
_cell_length_b 3.502
_cell_length_c 5.437
_cell_angle_alpha 90.00
_cell_angle_beta 90.00
_cell_angle_gamma 90.00
loop_
_symmetry_equiv_pos_as_xyz
'x,y,z'
'-x,-y,-z'
'-x,-y,z'
'x,y,-z'
'x,-y,-z'
'-x,y,z'
'-x,y,-z'
'x,-y,z'
loop_
_atom_site_label
_atom_site_type_symbol
_atom_site_fract_x
_atom_site_fract_y
_atom_site_fract_z
_atom_site_occupancy
Li1 Li 0.000 0.000 0.000 1
Zn1 Zn 0.500 0.500 0.266 1
Ni1 Ni 0.000 0.000 0.500 1

=====

# LiZnNi (GGA-PBEsol, optimized geometry)
# spin magnetization: 0.0 Bohr magnetons per cell
# N(E_F): 0.382 states/eV/atom
# V: 70 Å³ per cell
# E: -3.379 eV per atom
data_LiZnNi
_chemical_formula_sum 'Li2 Zn2 Ni2'
_symmetry_space_group_name_H-M 'I m m 2'
_symmetry_Int_Tables_number 44
_cell_length_a 2.550
_cell_length_b 3.656
_cell_length_c 7.564
_cell_angle_alpha 90.00
_cell_angle_beta 90.00
_cell_angle_gamma 90.00
loop_
_symmetry_equiv_pos_as_xyz
'x,y,z'
'-x,-y,z'
'-x,y,z'
'x,-y,z'
'x+1/2,y+1/2,z+1/2'
'-x+1/2,-y+1/2,z+1/2'
'-x+1/2,y+1/2,z+1/2'
'x+1/2,-y+1/2,z+1/2'
loop_
_atom_site_label
_atom_site_type_symbol
_atom_site_fract_x
_atom_site_fract_y
_atom_site_fract_z
_atom_site_occupancy
Li1 Li 0.000 0.000 0.000 1
Zn1 Zn 0.000 0.000 0.325 1
Ni1 Ni 0.000 0.000 0.671 1

=====

# LiZnNi2 (GGA-PBEsol, optimized geometry)
# spin magnetization: 0.0 Bohr magnetons per cell
# N(E_F): 0.623 states/eV/atom
# V: 88 Å³ per cell
# E: -4.061 eV per atom
data_LiZnNi2
_chemical_formula_sum 'Li2 Zn2 Ni4'
_symmetry_space_group_name_H-M 'I m m m'
_symmetry_Int_Tables_number 71
_symmetry_space_group_name_Hall '-I 2 2'
_cell_length_a 2.830
_cell_length_b 4.002
_cell_length_c 7.808
_cell_angle_alpha 90.00
_cell_angle_beta 90.00
_cell_angle_gamma 90.00
loop_
_atom_site_label
_atom_site_type_symbol
_atom_site_fract_x
_atom_site_fract_y
_atom_site_fract_z
_atom_site_occupancy
Li1 Li 0.000 0.000 0.000 1
Zn1 Zn 0.000 0.000 0.500 1
Ni1 Ni 0.000 0.500 0.250 1

=====

# LiZnNi2 (GGA-PBEsol, optimized geometry)
# spin magnetization: 0.0 Bohr magnetons per cell
# N(E_F): 0.648 states/eV/atom
# V: 88 Å³ per cell
# E: -4.069 eV per atom
data_LiZnNi2
_chemical_formula_sum 'Li2 Zn2 Ni4'
_symmetry_space_group_name_H-M 'I -4 m 2'
_symmetry_Int_Tables_number 119
_symmetry_space_group_name_Hall 'I -4 -2'
_cell_length_a 3.965
_cell_length_b 3.965
_cell_length_c 5.626
_cell_angle_alpha 90.00
_cell_angle_beta 90.00
_cell_angle_gamma 90.00
loop_
_atom_site_label
_atom_site_type_symbol
_atom_site_fract_x
_atom_site_fract_y
_atom_site_fract_z
_atom_site_occupancy
Li1 Li 0.000 0.000 0.000 1
Zn1 Zn 0.000 0.500 0.750 1
Ni1 Ni 0.000 0.000 0.500 1
Ni2 Ni 0.000 0.500 0.250 1

=====

# LiZn2Ni (GGA-PBEsol, optimized geometry)
# spin magnetization: 0.0 Bohr magnetons per cell
# N(E_F): 0.414 states/eV/atom
# V: 193 Å³ per cell
# E: -2.976 eV per atom
data_LiZn2Ni
_chemical_formula_sum 'Li4 Zn8 Ni4'
_symmetry_space_group_name_H-M 'F -4 3 m'
_symmetry_Int_Tables_number 216
_symmetry_space_group_name_Hall 'F -4 2 3'
_cell_length_a 5.779
_cell_length_b 5.779
_cell_length_c 5.779
_cell_angle_alpha 90.00
_cell_angle_beta 90.00
_cell_angle_gamma 90.00
loop_
_atom_site_label
_atom_site_type_symbol
_atom_site_fract_x
_atom_site_fract_y
_atom_site_fract_z
_atom_site_occupancy
Li1 Li 0.000 0.000 0.000 1
Zn1 Zn 0.000 0.000 0.500 1
Zn2 Zn 0.250 0.250 0.750 1
Ni1 Ni 0.250 0.250 0.250 1

=====

# LiZn2Ni (GGA-PBEsol, optimized geometry)
# spin magnetization: 0.0 Bohr magnetons per cell
# N(E_F): 0.395 states/eV/atom
# V: 193 Å³ per cell
# E: -3.068 eV per atom
data_LiZn2Ni
_chemical_formula_sum 'Li4 Zn8 Ni4'
_symmetry_space_group_name_H-M 'F m -3 m'
_symmetry_Int_Tables_number 225
_symmetry_space_group_name_Hall '-F 4 2 3'
_cell_length_a 5.776
_cell_length_b 5.776
_cell_length_c 5.776
_cell_angle_alpha 90.00
_cell_angle_beta 90.00
_cell_angle_gamma 90.00
loop_
_atom_site_label
_atom_site_type_symbol
_atom_site_fract_x
_atom_site_fract_y
_atom_site_fract_z
_atom_site_occupancy
Li1 Li 0.000 0.000 0.000 1
Zn1 Zn 0.250 0.250 0.250 1
Ni1 Ni 0.000 0.000 0.500 1

=====

# LiZnNi2 (GGA-PBEsol, optimized geometry)
# spin magnetization: 0.0 Bohr magnetons per cell
# N(E_F): 0.833 states/eV/atom
# V: 90 Å³ per cell
# E: -4.070 eV per atom
data_LiZnNi2
_chemical_formula_sum 'Li2 Zn2 Ni4'
_symmetry_space_group_name_H-M 'C 1 m 1'
_symmetry_Int_Tables_number 8
_cell_length_a 8.397
_cell_length_b 2.510
_cell_length_c 4.326
_cell_angle_alpha 90.00
_cell_angle_beta 99.84
_cell_angle_gamma 90.00
loop_
_symmetry_equiv_pos_as_xyz
'x,y,z'
'x,-y,z'
'x+1/2,y+1/2,z'
'x+1/2,-y+1/2,z'
loop_
_atom_site_label
_atom_site_type_symbol
_atom_site_fract_x
_atom_site_fract_y
_atom_site_fract_z
_atom_site_occupancy
Li1 Li 0.000 0.000 0.000 1
Zn1 Zn 0.239 0.000 0.741 1
Ni1 Ni 0.257 0.500 0.253 1
Ni2 Ni 0.494 0.000 0.487 1

=====

Number 1: formation energy -117 meV/atom. Number 2: formation energy -209 meV/atom. Number 3: formation energy -144 meV/atom. Number 4: formation energy -95 meV/atom. Number 5: formation energy -103 meV/atom. Number 6: formation energy -154 meV/atom. Number 7: formation energy -245 meV/atom. Number 8: formation energy -104 meV/atom.